No. 1
A plane-wave DFT calculation with GGA-PBE was carried out for BaEuCuHg after structural relaxation.

extended XYZ file:
```
4
Lattice="5.607 0.000 0.000 2.803 4.856 0.000 2.803 1.619 4.578" Properties=species:S:1:pos:R:3 pbc="T T T"
Hg 5.607 3.237 2.289
Ba 2.803 1.619 1.145
Eu 8.410 4.856 3.434
Cu 0.000 0.000 0.000
```

## Properties
- Symmetry: F-43m, No. 216
- ΔE_f: -206 meV/atom

---

No. 2
A plane-wave DFT calculation with GGA-PBE was carried out for YPbW after structural relaxation.

extended XYZ file:
```
3
Lattice="7.458 0.003 -0.002 6.623 3.083 0.094 0.836 -0.598 3.023" Properties=species:S:1:pos:R:3 pbc="T T T"
Pb 13.902 3.037 0.132
W 5.270 0.635 2.042
Y 9.826 1.903 1.034
```

## Properties
- Symmetry: Fmm2, No. 42
- Polymorph energy (0 for the lowest one): 0.081 eV/atom
- ΔE_f: 548 meV/atom

---

No. 3
A plane-wave DFT calculation with GGA-PBE was carried out for Rb2BaPb2 after structural relaxation.

extended XYZ file:
```
10
Lattice="-8.848 -5.964 0.923 3.858 -6.849 -7.275 1.650 -2.019 2.776" Properties=species:S:1:pos:R:3 pbc="T T T"
Rb 0.024 -8.316 -6.062
Pb -5.189 -8.073 -0.174
Pb -1.294 -4.152 0.362
Ba 0.000 0.000 0.000
Ba -2.495 -6.407 -3.176
Rb -5.417 -9.493 -3.684
Pb -2.046 -10.680 -3.938
Rb -5.014 -4.497 -0.290
Rb 0.426 -3.320 -2.668
Pb 1.849 -6.758 -3.402
```

## Properties
- Symmetry: P4/mbm, No. 127
- Polymorph energy (0 for the lowest one): 0.160 eV/atom
- ΔE_f: -10 meV/atom

---

No. 4
A plane-wave DFT calculation with GGA-PBE was carried out for Cs2CuBr2F2 after structural relaxation.

extended XYZ file:
```
7
Lattice="4.907 0.000 0.000 0.000 4.907 0.000 -2.453 -2.453 8.169" Properties=species:S:1:pos:R:3 pbc="T T T"
F 0.000 2.453 0.000
Br 2.453 2.453 5.779
Br 0.000 0.000 2.390
F 2.453 0.000 0.000
Cu 0.000 0.000 0.000
Cs 2.453 2.453 1.914
Cs 0.000 0.000 6.255
```

## Properties
- Formation energy without anion corrections: -1602.6 meV/atom
- Symmetry: I4/mmm, No. 139

---

No. 5
A plane-wave DFT calculation with GGA-PBE was carried out for CsBe3Ge after structural relaxation.

extended XYZ file:
```
5
Lattice="5.137 0.000 0.000 0.000 5.137 0.000 0.000 0.000 5.137" Properties=species:S:1:pos:R:3 pbc="T T T"
Be 0.000 0.000 2.568
Be 0.000 2.568 0.000
Cs 0.000 0.000 0.000
Be 2.568 0.000 0.000
Ge 2.568 2.568 2.568
```

## Properties
- Symmetry: Pm-3m, No. 221
- Polymorph energy (0 for the lowest one): 1.465 eV/atom
- ΔE_f: 2574 meV/atom

---

No. 6
A plane-wave DFT calculation with GGA-PBE was carried out for MnTc8C2 after structural relaxation.

extended XYZ file:
```
11
Lattice="-4.042 -0.453 -0.882 -0.464 -3.411 5.014 -1.137 4.315 4.133" Properties=species:S:1:pos:R:3 pbc="T T T"
Tc -3.762 1.876 2.795
C -1.294 0.051 1.438
Tc -1.585 0.260 3.492
Tc -3.440 -1.818 3.217
Tc -1.882 -1.425 5.469
Tc -3.273 -0.143 1.246
Mn 0.000 0.000 0.000
Tc -2.371 0.594 7.019
C -4.349 0.400 6.827
Tc -2.204 2.269 5.048
Tc -4.059 0.191 4.773
```

## Properties
- Symmetry: C2/m, No. 12
- ΔE_f: 378 meV/atom

---

No. 7
A plane-wave DFT calculation with GGA-PBE was carried out for In5HgPb2 after structural relaxation.

extended XYZ file:
```
8
Lattice="5.429 0.000 0.000 0.000 6.919 0.000 0.000 0.000 6.919" Properties=species:S:1:pos:R:3 pbc="T T T"
In 2.715 0.000 0.000
In 0.000 4.925 1.994
In 0.000 1.994 1.994
Pb 2.715 3.459 0.000
In 0.000 4.925 4.925
Hg 0.000 0.000 0.000
Pb 2.715 0.000 3.459
In 0.000 1.994 4.925
```

## Properties
- Symmetry: P4/mmm, No. 123
- Polymorph energy (0 for the lowest one): 0.184 eV/atom
- ΔE_f: 218 meV/atom

---

No. 8
A plane-wave DFT calculation with GGA-PBE was carried out for BaPt after structural relaxation.

extended XYZ file:
```
16
Lattice="11.601 0.000 0.000 0.000 11.601 0.000 0.000 0.000 4.823" Properties=species:S:1:pos:R:3 pbc="T T T"
Ba 3.052 0.000 2.412
Pt 8.978 2.623 0.000
Ba 5.800 8.852 0.000
Pt 2.623 8.978 0.000
Ba 5.800 2.748 0.000
Ba 8.852 5.800 0.000
Ba 0.000 3.052 2.412
Pt 2.623 2.623 0.000
Pt 8.424 3.177 2.412
Ba 8.549 0.000 2.412
Pt 3.177 3.177 2.412
Pt 3.177 8.424 2.412
Pt 8.978 8.978 0.000
Pt 8.424 8.424 2.412
Ba 2.748 5.800 0.000
Ba 0.000 8.549 2.412
```

## Properties
- Symmetry: I4/mmm, No. 139
- ΔE_f: -538 meV/atom

---

Going through the records in order, we get theoretical density values of 7.4; 11.4; 5.5; 4.5; 2.8; 9.5; 7.6; 6.8 g cm⁻³.